CrInTcN | GGA-PBE | optimized geometry

The uncorrected formation energy comes out at -0.033 eV per atom. For the volume, the calculation gives 54.9 Å³/cell.

The structure belongs to space group P4mm (No. 99); the cell edges are 2.8265, 2.8265 and 6.8684 Å and the angles 90.00°, 90.00° and 90.00°. The inequivalent atoms are Cr at (0.0000, 0.0000, 0.0000), In at (0.0000, 0.0000, 0.4133), Tc at (0.5000, 0.5000, 0.7318) and N at (0.5000, 0.5000, 0.0220).


CrInTeN2 | GGA-PBE | optimized geometry

The uncorrected formation energy comes out at 0.604 eV per atom. For the volume, the calculation gives 87.0 Å³/cell.

The structure belongs to space group P4/mmm (No. 123); the cell edges are 3.9378, 3.9378 and 5.6127 Å and the angles 90.00°, 90.00° and 90.00°. The inequivalent atoms are Cr at (0.0000, 0.0000, 0.0000), In at (0.5000, 0.5000, 0.5000), Te at (0.0000, 0.0000, 0.5000) and N at (0.0000, 0.5000, 0.0000).


CrInTeN2 | GGA-PBE | optimized geometry

The uncorrected formation energy comes out at 1.515 eV per atom. For the volume, the calculation gives 114.4 Å³/cell.

The structure belongs to space group P4/mmm (No. 123); the cell edges are 4.2093, 4.2093 and 6.4548 Å and the angles 90.00°, 90.00° and 90.00°. The inequivalent atoms are Cr at (0.0000, 0.0000, 0.0000), In at (0.5000, 0.5000, 0.5000), Te at (0.5000, 0.5000, 0.0000) and N at (0.0000, 0.5000, 0.5000).


TlCrIn2N | GGA-PBE | optimized geometry

The uncorrected formation energy comes out at 0.277 eV per atom. For the volume, the calculation gives 112.2 Å³/cell.

The structure belongs to space group P4/mmm (No. 123); the cell edges are 5.5132, 5.5132 and 3.6914 Å and the angles 90.00°, 90.00° and 90.00°. The inequivalent atoms are Tl at (0.0000, 0.0000, 0.0000), Cr at (0.5000, 0.5000, 0.0000), In at (0.0000, 0.5000, 0.5000) and N at (0.5000, 0.5000, 0.5000).


TlCrIn2N | GGA-PBE | optimized geometry

The uncorrected formation energy comes out at 1.302 eV per atom. For the volume, the calculation gives 145.5 Å³/cell.

The structure belongs to space group P4/mmm (No. 123); the cell edges are 5.2409, 5.2409 and 5.2975 Å and the angles 90.00°, 90.00° and 90.00°. The inequivalent atoms are Tl at (0.0000, 0.0000, 0.0000), Cr at (0.0000, 0.0000, 0.5000), In at (0.0000, 0.5000, 0.5000) and N at (0.5000, 0.5000, 0.0000).


Y2CrInN | GGA-PBE | optimized geometry

The uncorrected formation energy comes out at -0.680 eV per atom. For the volume, the calculation gives 94.8 Å³/cell.

The structure belongs to space group P4/mmm (No. 123); the cell edges are 4.9936, 4.9936 and 3.8005 Å and the angles 90.00°, 90.00° and 90.00°. The inequivalent atoms are Y at (0.0000, 0.5000, 0.0000), Cr at (0.0000, 0.0000, 0.5000), In at (0.5000, 0.5000, 0.5000) and N at (0.0000, 0.0000, 0.0000).


Zr2CrInN | GGA-PBE | optimized geometry

The uncorrected formation energy comes out at -0.613 eV per atom. For the volume, the calculation gives 81.9 Å³/cell.

The structure belongs to space group P4/mmm (No. 123); the cell edges are 4.6286, 4.6286 and 3.8240 Å and the angles 90.00°, 90.00° and 90.00°. The inequivalent atoms are Zr at (0.0000, 0.5000, 0.0000), Cr at (0.0000, 0.0000, 0.5000), In at (0.5000, 0.5000, 0.5000) and N at (0.0000, 0.0000, 0.0000).


Na3CrIn | GGA-PBE | optimized geometry

The formation energy comes out at 1276 meV/atom. For the volume, the calculation gives 192.0 Å³/cell.

The structure belongs to space group Pm-3m (No. 221); the cell edges are 5.7690, 5.7690 and 5.7690 Å and the angles 90.00°, 90.00° and 90.00°. The inequivalent atoms are Na at (0.0000, 0.0000, 0.5000), Cr at (0.5000, 0.5000, 0.5000) and In at (0.0000, 0.0000, 0.0000).


NaCrIn2 | GGA-PBE | optimized geometry

The formation energy comes out at 193 meV/atom. For the volume, the calculation gives 343.8 Å³/cell.

The structure belongs to space group Fm-3m (No. 225); the cell edges are 7.0055, 7.0055 and 7.0055 Å and the angles 90.00°, 90.00° and 90.00°. The inequivalent atoms are Na at (0.0000, 0.0000, 0.0000), Cr at (0.0000, 0.0000, 0.5000) and In at (0.2500, 0.2500, 0.2500).


NaCrIn3 | GGA-PBE | optimized geometry

The formation energy comes out at 1430 meV/atom. For the volume, the calculation gives 145.8 Å³/cell.

The structure belongs to space group Pm-3m (No. 221); the cell edges are 5.2638, 5.2638 and 5.2638 Å and the angles 90.00°, 90.00° and 90.00°. The inequivalent atoms are Na at (0.0000, 0.0000, 0.0000), Cr at (0.5000, 0.5000, 0.5000) and In at (0.0000, 0.0000, 0.5000).


Na2CrIn | GGA-PBE | optimized geometry

The formation energy comes out at 540 meV/atom. For the volume, the calculation gives 430.5 Å³/cell.

The structure belongs to space group I-42d (No. 122); the cell edges are 8.6336, 8.6336 and 5.7752 Å and the angles 90.00°, 90.00° and 90.00°. The inequivalent atoms are Na at (0.2422, 0.7500, 0.1250), Cr at (0.0000, 0.0000, 0.0000) and In at (0.0000, 0.0000, 0.5000).


NaCrIn3 | GGA-PBE | optimized geometry

The formation energy comes out at 249 meV/atom. For the volume, the calculation gives 139.7 Å³/cell.

The structure belongs to space group Pm-3m (No. 221); the cell edges are 5.1887, 5.1887 and 5.1887 Å and the angles 90.00°, 90.00° and 90.00°. The inequivalent atoms are Na at (0.0000, 0.0000, 0.0000), Cr at (0.5000, 0.5000, 0.5000) and In at (0.0000, 0.5000, 0.5000).